## Li6Cr5CuO12 (GGA+U)

Data for Li6Cr5CuO12 after structural relaxation.

The space group is C2/m (No. 12) and the conventional cell measures 5.099, 8.835 and 10.077 Å, with angles of 90.00, 99.54 and 90.00 degrees. The distinct sites, in fractional coordinates, are Li at (0.086, 0.000, 0.251), Li at (0.088, 0.333, 0.258), Cr at (0.000, 0.166, 0.500), Cr at (0.000, 0.333, 0.000), Cr at (0.000, 0.500, 0.500), Cu at (0.000, 0.000, 0.000), O at (0.127, 0.500, 0.886), O at (0.130, 0.168, 0.886), O at (0.203, 0.000, 0.611) and O at (0.203, 0.333, 0.611).

The total moment comes out at 17.00 μB/f.u. Its density is 4.13 g/cm³. For the total energy, the calculation gives -6.54 eV per atom.